The following is a GGA-PBE calculation of NaMnIr2 after structural relaxation, from Alexandria via LeMat-Bulk.

- E_form: 429 meV/atom
- Final energy: -6.62 eV per atom
- SG: Fm-3m

Cell lengths 4.339, 4.339, 4.339 Å; angles 60.00, 60.00, 60.00 degrees
Site moments in Bohr magnetons follow the coordinates.
Atoms (fractional coordinates):
Na 0.000 0.000 0.000  -0.01
Mn 0.500 0.500 0.500  2.80
Ir 0.250 0.250 0.250  -0.16
Ir 0.750 0.750 0.750  -0.16

***

The following is a GGA-PBE calculation of NaMn3Ir after structural relaxation, from Alexandria via LeMat-Bulk.

- E_form: 2492 meV/atom
- Final energy: -5.05 eV per atom
- SG: Pm-3m

Cell lengths 4.117, 4.117, 4.117 Å; angles 90.00, 90.00, 90.00 degrees
Atoms (fractional coordinates):
Na 0.000 0.000 0.000
Mn 0.000 0.500 0.000
Mn 0.500 0.000 0.000
Mn 0.000 0.000 0.500
Ir 0.500 0.500 0.500

***

Which value of E_form does entry 2 give? 2492 meV/atom

***

Among the records above, which one has the highest final energy? NaMn3Ir

***

Which of these has the highest E_form? NaMn3Ir